[1]
Compound: LaPmThZr
Source: Alexandria
Functional: PBE
Structure: optimized geometry

Output
The final energy is -24.88 eV/f.u. The value obtained for the formation energy is 0.192 eV/atom.

Cell lengths 5.573, 5.573, 5.573 Å; angles 60.00, 60.00, 60.00 degrees
Sites, in units of the cell vectors:
1 Th 0.000 0.000 0.000
2 Zr 0.750 0.750 0.750
3 La 0.500 0.500 0.500
4 Pm 0.250 0.250 0.250

***

[2]
Compound: AlTcPb
Source: Alexandria
Functional: PBE
Structure: optimized geometry

Output
The final energy is -16.45 eV/f.u. Its energy above the lowest structure with this stoichiometry is 346 meV per atom. The value obtained for the formation energy is 0.455 eV/atom.

Cell lengths 4.465, 4.465, 4.465 Å; angles 60.00, 60.00, 60.00 degrees
Sites, in units of the cell vectors:
1 Tc 0.750 0.750 0.750
2 Pb 0.500 0.500 0.500
3 Al 0.000 0.000 0.000

***

[3]
Compound: Mg8CuIr2
Source: Alexandria
Functional: PBE
Structure: optimized geometry

Output
The final energy is -36.99 eV/f.u. The value obtained for the formation energy is -0.220 eV/atom.

Cell lengths 4.492, 6.630, 7.672 Å; angles 112.42, 107.02, 90.00 degrees
Sites, in units of the cell vectors:
1 Mg 0.023 0.736 0.047
2 Mg 0.332 0.088 0.665
3 Mg 0.977 0.264 0.953
4 Mg 0.668 0.912 0.335
5 Mg 0.378 0.565 0.755
6 Mg 0.174 0.232 0.349
7 Mg 0.622 0.435 0.245
8 Mg 0.826 0.768 0.651
9 Ir 0.806 0.337 0.613
10 Ir 0.194 0.663 0.387
11 Cu 0.500 0.000 0.000

***

[4]
Compound: ZrTcGe
Source: Alexandria
Functional: PBE
Structure: optimized geometry

Output
The final energy is -24.65 eV/f.u. Its energy above the lowest structure with this stoichiometry is 339 meV per atom. The value obtained for the formation energy is -0.371 eV/atom.

Cell lengths 3.273, 3.273, 5.334 Å; angles 107.86, 107.86, 90.00 degrees
Sites, in units of the cell vectors:
1 Ge 0.306 0.306 0.612
2 Zr 0.614 0.614 0.228
3 Tc 0.930 0.930 0.860

***

[5]
Compound: Sm2GaSi
Source: Alexandria
Functional: PBE
Structure: optimized geometry

Output
The final energy is -19.95 eV/f.u. The calculation puts the formation energy (no corrections) at -515.8 meV/atom.

Cell lengths 4.037, 4.831, 4.831 Å; angles 90.00, 90.00, 90.00 degrees
Sites, in units of the cell vectors:
1 Sm 0.000 0.000 0.500
2 Sm 0.000 0.500 0.000
3 Si 0.500 0.000 0.000
4 Ga 0.500 0.500 0.500

***

[6]
Compound: La2ZnInC
Source: Alexandria
Functional: PBE
Structure: optimized geometry

Output
The final energy is -23.95 eV/f.u. The value obtained for the formation energy is -0.172 eV/atom.

Cell lengths 5.455, 5.455, 4.009 Å; angles 90.00, 90.00, 90.00 degrees
Sites, in units of the cell vectors:
1 La 0.500 0.000 0.000
2 La 0.000 0.500 0.000
3 C 0.000 0.000 0.000
4 In 0.500 0.500 0.500
5 Zn 0.000 0.000 0.500

***

[7]
Compound: CaZr3Mn
Source: Alexandria
Functional: PBE
Structure: optimized geometry

Output
The final energy is -35.34 eV/f.u. Its energy above the lowest structure with this stoichiometry is 0 meV per atom. The value obtained for the formation energy is 0.295 eV/atom.

Cell lengths 4.986, 4.986, 4.986 Å; angles 90.00, 90.00, 90.00 degrees
Sites, in units of the cell vectors:
1 Ca 0.500 0.500 0.500
2 Zr 0.000 0.500 0.000
3 Zr 0.000 0.000 0.500
4 Zr 0.500 0.000 0.000
5 Mn 0.000 0.000 0.000

***

[8]
Compound: KZr2Ir
Source: Alexandria
Functional: PBE
Structure: optimized geometry

Output
The final energy is -26.45 eV/f.u. Its energy above the lowest structure with this stoichiometry is 156 meV per atom. The value obtained for the formation energy is 0.150 eV/atom.

Cell lengths 9.849, 9.849, 9.849 Å; angles 158.51, 158.85, 30.33 degrees
Sites, in units of the cell vectors:
1 K 0.315 0.815 0.500
2 Zr 0.000 0.000 0.000
3 Zr 0.642 0.142 0.500
4 Ir 0.542 0.542 0.000

***

[9]
Compound: Zr2InTcH
Source: Alexandria
Functional: PBE
Structure: optimized geometry

Output
The final energy is -34.97 eV/f.u.

Cell lengths 4.608, 4.608, 3.835 Å; angles 90.00, 90.00, 90.00 degrees
Sites, in units of the cell vectors:
1 Zr 0.500 0.000 0.000
2 Zr 0.000 0.500 0.000
3 In 0.500 0.500 0.500
4 Tc 0.000 0.000 0.500
5 H 0.000 0.000 0.000

***

[10]
Compound: CdPtSe2
Source: Alexandria
Functional: PBE
Structure: optimized geometry

Output
The final energy is -13.06 eV/f.u. The calculation puts the formation energy (no corrections) at 215.1 meV/atom.

Cell lengths 3.190, 3.190, 8.002 Å; angles 90.00, 90.00, 90.00 degrees
Sites, in units of the cell vectors:
1 Se 0.000 0.000 0.545
2 Se 0.000 0.000 0.955
3 Pt 0.500 0.500 0.750
4 Cd 0.500 0.500 0.250

***

[11]
Compound: BaZrAs2
Source: Alexandria
Functional: PBE
Structure: optimized geometry

Output
The final energy is -23.22 eV/f.u. Its energy above the lowest structure with this stoichiometry is 221 meV per atom. The value obtained for the formation energy is -0.861 eV/atom.

Cell lengths 7.616, 7.616, 7.052 Å; angles 57.32, 57.32, 90.00 degrees
Sites, in units of the cell vectors:
1 Ba 0.000 0.000 0.000
2 Ba 0.750 0.250 0.500
3 As 0.875 0.806 0.750
4 As 0.375 0.444 0.750
5 As 0.194 0.625 0.250
6 As 0.556 0.125 0.250
7 Zr 0.250 0.750 0.500
8 Zr 0.500 0.500 0.000

***

[12]
Compound: NiHg3H
Source: Alexandria
Functional: PBE
Structure: optimized geometry

Output
The final energy is -7.30 eV/f.u. Its energy above the lowest structure with this stoichiometry is 0 meV per atom.

Cell lengths 5.091, 5.091, 5.091 Å; angles 90.00, 90.00, 90.00 degrees
Last column: magnetic moment on the atom in μB.
Sites, in units of the cell vectors:
1 Ni 0.000 0.000 0.000  0.06
2 Hg 0.500 0.000 0.000  0.03
3 Hg 0.000 0.000 0.500  0.00
4 Hg 0.000 0.500 0.000  0.00
5 H 0.500 0.500 0.500  0.35